(1)
Pu3ThIr2 | PBE | optimized geometry

POSCAR file:
```
Pu3ThIr2
1.0
4.013 0.000 0.000
0.000 8.931 0.000
0.000 0.000 7.653
Pu Th Ir
6 2 4
direct
0.000 0.081 0.000
0.000 0.269 0.464
0.000 0.731 0.964
0.000 0.919 0.500
0.500 0.188 0.667
0.500 0.812 0.167
0.500 0.428 0.099
0.500 0.572 0.599
0.000 0.423 0.828
0.000 0.577 0.328
0.500 0.126 0.259
0.500 0.874 0.759
```

## Properties
Density   16326 kg/m³
Formation energy from the elements   -0.427 eV/atom

(2)
PmDyInIr | PBE | optimized geometry

POSCAR file:
```
PmDyInIr
1.0
0.000 3.636 3.636
3.636 0.000 3.636
3.636 3.636 0.000
Pm Dy In Ir
1 1 1 1
direct
0.000 0.000 0.000
0.500 0.500 0.500
0.250 0.250 0.250
0.750 0.750 0.750
```

## Properties
Density   10615 kg/m³
Formation energy from the elements   -0.488 eV/atom

(3)
BaNa2HgAs | PBE | optimized geometry

POSCAR file:
```
BaNa2HgAs
1.0
5.541 0.000 0.000
0.000 5.541 0.000
0.000 0.000 6.464
Ba Na Hg As
1 2 1 1
direct
0.000 0.000 0.000
0.000 0.500 0.500
0.500 0.000 0.500
0.500 0.500 0.000
0.000 0.000 0.500
```

## Properties
Density   3839 kg/m³
Formation energy from the elements   -0.399 eV/atom

(4)
K3RbTe2 | PBE | optimized geometry

POSCAR file:
```
K3RbTe2
1.0
5.420 0.000 0.000
0.000 10.626 0.000
0.000 0.000 8.956
K Rb Te
6 2 4
direct
0.000 0.078 0.000
0.000 0.319 0.378
0.000 0.681 0.878
0.000 0.922 0.500
0.500 0.178 0.673
0.500 0.822 0.173
0.500 0.428 0.054
0.500 0.572 0.554
0.000 0.364 0.771
0.000 0.636 0.271
0.500 0.132 0.281
0.500 0.868 0.781
```

## Properties
Total DFT energy (no corrections)   -2.7712 eV/atom
Density   2948 kg/m³